# 1
A relaxed LiTbCd2Hg4 crystal. Source: Alexandria, functional GGA-PBE.

space group	R-3m, No. 166
crystal system	trigonal
DFT formation energy	-275.8	meV per atom
DFT total energy	-11.8	eV/cell
total magnetization	0.00	μB/f.u.

abc: 8.8298 8.8298 8.8298
angles: 32.76 32.76 32.76
Fractional coordinates of all 8 atoms:
Li 0.0000 0.0000 0.0000
Tb 0.5000 0.5000 0.5000
Cd 0.2490 0.2490 0.2490
Cd 0.7510 0.7510 0.7510
Hg 0.1181 0.1181 0.1181
Hg 0.3695 0.3695 0.3695
Hg 0.6305 0.6305 0.6305
Hg 0.8819 0.8819 0.8819

=====

# 2
A relaxed Mn5Cd crystal. Source: Alexandria, functional GGA-PBE.

space group	P6/mmm, No. 191
energy relative to the lowest polymorph listed for this composition	2.64	kcal/mol of atoms
crystal system	hexagonal
DFT formation energy	409.1	meV per atom
DFT total energy	-44.3	eV/cell
total magnetization	2.24	μB/f.u.

abc: 4.9780 4.9780 3.9114
angles: 90.00 90.00 120.00
Fractional coordinates of all 6 atoms:
Mn 0.0000 0.5000 0.0000
Mn 0.3333 0.6667 0.5000
Mn 0.5000 0.0000 0.0000
Mn 0.5000 0.5000 0.0000
Mn 0.6667 0.3333 0.5000
Cd 0.0000 0.0000 0.5000

=====

# 3
A relaxed Cu2PtPb crystal. Source: Alexandria, functional GGA-PBE.

space group	Pmm2, No. 25
crystal system	orthorhombic
DFT formation energy	87.6	meV per atom
DFT total energy	-17.6	eV/cell
total magnetization	0.00	μB/f.u.

abc: 3.1591 4.3474 4.8475
angles: 90.00 90.00 90.00
Fractional coordinates of all 4 atoms:
Cu 0.0000 0.0000 0.0000
Cu 0.0000 0.5000 0.3114
Pt 0.5000 0.0000 0.4386
Pb 0.5000 0.5000 0.8164

=====

# 4
A relaxed LiAc2BrO6 crystal. Source: Alexandria, functional GGA-PBE.

space group	Fm-3m, No. 225
crystal system	cubic
DFT total energy	-60.5	eV/cell
total magnetization	0.00	μB/f.u.

abc: 5.6764 5.6764 5.6764
angles: 60.00 60.00 60.00
Fractional coordinates of all 10 atoms:
Li 0.0000 0.0000 0.0000
Ac 0.2500 0.2500 0.2500
Ac 0.7500 0.7500 0.7500
Br 0.5000 0.5000 0.5000
O 0.2530 0.2530 0.7470
O 0.2530 0.7470 0.2530
O 0.2530 0.7470 0.7470
O 0.7470 0.2530 0.2530
O 0.7470 0.2530 0.7470
O 0.7470 0.7470 0.2530

=====

# 5
A relaxed YCo2Br2 crystal. Source: Alexandria, functional GGA-PBE.

space group	P4/mbm, No. 127
energy relative to the lowest polymorph listed for this composition	0.74	kcal/mol of atoms
crystal system	tetragonal
DFT total energy	-47.7	eV/cell
total magnetization	1.44	μB/f.u.

abc: 6.8644 6.8644 4.4261
angles: 90.00 90.00 90.00
Fractional coordinates of all 10 atoms:
Y 0.0000 0.0000 0.0000
Y 0.5000 0.5000 0.0000
Co 0.1175 0.3825 0.0000
Co 0.3825 0.8825 0.0000
Co 0.6175 0.1175 0.0000
Co 0.8825 0.6175 0.0000
Br 0.1960 0.3040 0.5000
Br 0.3040 0.8040 0.5000
Br 0.6960 0.1960 0.5000
Br 0.8040 0.6960 0.5000

=====

# 6
A relaxed SbWAu2 crystal. Source: Alexandria, functional GGA-PBE.

space group	Cmmm, No. 65
crystal system	orthorhombic
DFT total energy	-21.7	eV/cell
total magnetization	0.00	μB/f.u.

abc: 5.3395 5.3395 2.9507
angles: 90.00 90.00 116.73
Fractional coordinates of all 4 atoms:
Sb 0.0000 0.0000 0.0000
W 0.5000 0.5000 0.0000
Au 0.0000 0.5000 0.5000
Au 0.5000 0.0000 0.5000

=====

# 7
A relaxed ThZrSc crystal. Source: Alexandria, functional GGA-PBE.

space group	Pnma, No. 62
energy relative to the lowest polymorph listed for this composition	0.04	kcal/mol of atoms
crystal system	orthorhombic
DFT formation energy	51.8	meV per atom
DFT total energy	-88.6	eV/cell
total magnetization	0.00	μB/f.u.

abc: 8.9706 3.3688 10.5918
angles: 90.00 90.00 90.00
Fractional coordinates of all 12 atoms:
Th 0.0675 0.2500 0.1405
Th 0.4325 0.7500 0.6405
Th 0.5675 0.2500 0.3595
Th 0.9325 0.7500 0.8595
Zr 0.1017 0.2500 0.5968
Zr 0.3983 0.7500 0.0968
Zr 0.6017 0.2500 0.9032
Zr 0.8983 0.7500 0.4032
Sc 0.2437 0.7500 0.3703
Sc 0.2563 0.2500 0.8703
Sc 0.7437 0.7500 0.1297
Sc 0.7563 0.2500 0.6297

=====

# 8
A relaxed CsLi2O2 crystal. Source: Alexandria, functional GGA-PBE.

space group	I4/mmm, No. 139
crystal system	tetragonal
DFT total energy	-21.3	eV/cell
total magnetization	1.00	μB/f.u.

abc: 6.3031 6.3031 6.3031
angles: 146.67 146.67 47.86
Fractional coordinates of all 5 atoms:
Cs 0.0000 0.0000 0.0000
Li 0.2500 0.7500 0.5000
Li 0.7500 0.2500 0.5000
O 0.3248 0.3248 0.0000
O 0.6752 0.6752 0.0000

=====

# 9
A relaxed HfSn3Ir crystal. Source: Alexandria, functional GGA-PBE.

space group	Pm-3m, No. 221
energy relative to the lowest polymorph listed for this composition	16.47	kcal/mol of atoms
crystal system	cubic
DFT formation energy	1292.6	meV per atom
DFT total energy	-24.4	eV/cell
total magnetization	1.85	μB/f.u.

abc: 5.4132 5.4132 5.4132
angles: 90.00 90.00 90.00
Fractional coordinates of all 5 atoms:
Hf 0.0000 0.0000 0.0000
Sn 0.0000 0.0000 0.5000
Sn 0.0000 0.5000 0.0000
Sn 0.5000 0.0000 0.0000
Ir 0.5000 0.5000 0.5000

=====

# 10
A relaxed Cs5Ga4As2 crystal. Source: Alexandria, functional GGA-PBE.

space group	C2/m, No. 12
crystal system	monoclinic
DFT formation energy	-55.1	meV per atom
DFT total energy	-26.3	eV/cell
total magnetization	0.31	μB/f.u.

abc: 7.5083 7.5083 9.3637
angles: 101.77 101.77 60.42
Fractional coordinates of all 11 atoms:
Cs 0.0000 0.0000 0.0000
Cs 0.1513 0.6429 0.6298
Cs 0.3571 0.8487 0.3702
Cs 0.6429 0.1513 0.6298
Cs 0.8487 0.3571 0.3702
Ga 0.2756 0.2756 0.9601
Ga 0.3256 0.3256 0.2391
Ga 0.6744 0.6744 0.7609
Ga 0.7244 0.7244 0.0399
As 0.1657 0.1657 0.7196
As 0.8343 0.8343 0.2804

=====

# 11
A relaxed SrErF5 crystal. Source: Alexandria, functional GGA-PBE.

space group	C2/c, No. 15
crystal system	monoclinic
DFT total energy	-88.3	eV/cell
total magnetization	0.00	μB/f.u.

abc: 8.1711 8.1711 5.7369
angles: 90.88 90.88 149.50
Fractional coordinates of all 14 atoms:
Sr 0.1763 0.8237 0.7500
Sr 0.8237 0.1763 0.2500
Er 0.4244 0.5756 0.7500
Er 0.5756 0.4244 0.2500
F 0.1213 0.8787 0.2500
F 0.2305 0.3062 0.3989
F 0.3036 0.6798 0.9961
F 0.3062 0.2305 0.8989
F 0.3202 0.6964 0.5039
F 0.6798 0.3036 0.4961
F 0.6938 0.7695 0.1011
F 0.6964 0.3202 0.0039
F 0.7695 0.6938 0.6011
F 0.8787 0.1213 0.7500

=====

# 12
A relaxed Sr2SmPbO4 crystal. Source: Alexandria, functional GGA-PBE.

space group	P2/m, No. 10
crystal system	monoclinic
DFT total energy	-50.3	eV/cell
total magnetization	0.49	μB/f.u.

abc: 6.5921 3.5119 6.9847
angles: 90.00 114.13 90.00
Fractional coordinates of all 8 atoms:
Sr 0.0000 0.0000 0.0000
Sr 0.5000 0.5000 0.5000
Sm 0.0000 0.0000 0.5000
Pb 0.5000 0.5000 0.0000
O 0.0650 0.5000 0.2919
O 0.3862 0.0000 0.6959
O 0.6138 0.0000 0.3041
O 0.9350 0.5000 0.7081